Record 1
The following is a meta-GGA SCAN calculation of a crystal of BeSb2Pt relaxed with PBEsol, from the Alexandria database.

Geometry as POSCAR:
```
BeSb2Pt
1.0
-0.068 -0.361 3.203
0.809 -3.524 -0.380
6.115 3.398 -1.109
Pt Be Sb
1 1 2
direct
0.000 0.500 0.000
0.500 0.000 0.000
0.156 0.156 0.313
0.844 0.844 0.687
```

Properties
Crystal system: orthorhombic
ΔE_f (raw): -206 meV/atom

Record 2
The following is a meta-GGA SCAN calculation of a crystal of BeSbTe2Pt relaxed with PBEsol, from the Alexandria database.

Geometry as POSCAR:
```
BeSbTe2Pt
1.0
4.633 0.000 0.000
0.000 4.811 0.000
0.000 0.000 4.811
Be Sb Te Pt
1 1 2 1
direct
0.000 0.000 0.000
0.500 0.000 0.000
0.000 0.500 0.000
0.000 0.000 0.500
0.500 0.500 0.500
```

Properties
Crystal system: tetragonal
ΔE_f (raw): 744 meV/atom

Record 3
The following is a meta-GGA SCAN calculation of a crystal of Sc2BePt relaxed with PBEsol, from the Alexandria database.

Geometry as POSCAR:
```
Sc2BePt
1.0
2.970 0.000 0.000
1.485 2.572 0.000
1.485 0.857 9.087
Sc Pt Be
2 1 1
direct
0.093 0.093 0.721
0.907 0.907 0.279
0.000 0.000 0.000
0.500 0.500 0.500
```

Properties
Crystal system: trigonal
Energy relative to the elements: 133 meV per atom

Record 4
The following is a meta-GGA SCAN calculation of a crystal of ScBe2Pt relaxed with PBEsol, from the Alexandria database.

Geometry as POSCAR:
```
ScBe2Pt
1.0
-0.912 2.609 -2.648
1.175 -0.450 -3.615
-3.556 -1.478 -2.998
Be Sc Pt
2 1 1
direct
0.203 0.203 0.390
0.797 0.797 0.610
0.000 0.000 0.000
0.500 0.500 0.500
```

Properties
Crystal system: trigonal
E above lowest polymorph: 0.0 meV/atom
Energy relative to the elements: -828 meV per atom

Record 5
The following is a meta-GGA SCAN calculation of a crystal of ScBe2Pt relaxed with PBEsol, from the Alexandria database.

Geometry as POSCAR:
```
ScBe2Pt
1.0
-2.005 2.904 -1.672
-2.999 1.641 1.887
1.098 4.475 1.894
Be Pt Sc
2 1 1
direct
0.233 0.233 0.302
0.951 0.951 0.147
0.559 0.559 0.324
0.757 0.757 0.730
```

Properties
Crystal system: trigonal
E above lowest polymorph: 85.8 meV/atom
Energy relative to the elements: -742 meV per atom

Record 6
The following is a meta-GGA SCAN calculation of a crystal of ScBe2Pt relaxed with PBEsol, from the Alexandria database.

Geometry as POSCAR:
```
ScBe2Pt
1.0
-1.575 1.859 3.192
-0.729 -4.286 -0.390
2.045 -2.451 2.437
Be Sc Pt
2 1 1
direct
0.000 0.000 0.000
0.250 0.500 0.250
0.750 0.500 0.750
0.500 0.000 0.500
```

Properties
Crystal system: tetragonal
E above lowest polymorph: 280.4 meV/atom
Energy relative to the elements: -548 meV per atom

Record 7
The following is a meta-GGA SCAN calculation of a crystal of ScBePt2 relaxed with PBEsol, from the Alexandria database.

Geometry as POSCAR:
```
ScBePt2
1.0
-2.207 0.025 1.803
1.271 -2.000 1.583
3.071 4.873 3.691
Be Sc Pt
1 1 2
direct
0.500 0.500 0.500
0.500 0.500 0.000
0.000 0.000 0.708
0.000 0.000 0.292
```

Properties
Crystal system: tetragonal
E above lowest polymorph: 0.0 meV/atom
Energy relative to the elements: -1154 meV per atom

Record 8
The following is a meta-GGA SCAN calculation of a crystal of ScBe2Pt2 relaxed with PBEsol, from the Alexandria database.

Geometry as POSCAR:
```
ScBe2Pt2
1.0
3.403 0.000 0.000
0.000 3.403 0.000
-1.702 -1.702 6.015
Sc Pt Be
1 2 2
direct
0.000 0.000 0.000
0.617 0.617 0.234
0.383 0.383 0.766
0.750 0.250 0.500
0.250 0.750 0.500
```

Properties
Crystal system: tetragonal
E above lowest polymorph: 27.4 meV/atom
Energy relative to the elements: -1001 meV per atom